1.
Computed, not measured: CdCo3Si after structural relaxation at the GGA-PBE level of DFT.

Results
Uncorrected formation energy, meV per atom: 1832.2
SG: Pm-3m, No. 221
Total magnetic moment, μB/cell: 4.9
Calculated volume, Å³/cell: 99.8

Cell lengths 4.6389, 4.6389, 4.6389 Å; angles 90.00, 90.00, 90.00 degrees
Last column: magnetic moment on the atom in μB.
Fractional positions:
Co1 0.0000 0.5000 0.0000  1.83
Co2 0.0000 0.0000 0.5000  1.77
Co3 0.5000 0.0000 0.0000  1.57
Cd1 0.0000 0.0000 0.0000  -0.06
Si1 0.5000 0.5000 0.5000  -0.02



2.
Computed, not measured: Rb2LiNpS4 after structural relaxation at the GGA-PBE level of DFT.

Results
Uncorrected formation energy, meV per atom: -1208.7
SG: P2/m, No. 10
Total magnetic moment, μB/cell: 2.0
Calculated volume, Å³/cell: 212.6

Cell lengths 4.1052, 6.8480, 7.9058 Å; angles 106.97, 90.00, 90.00 degrees
Last column: magnetic moment on the atom in μB.
Fractional positions:
Np1 0.0000 0.0000 0.0000  2.61
Rb1 0.5000 0.0000 0.5000  0.00
Rb2 0.0000 0.5000 0.5000  -0.01
S1 0.0000 0.7544 0.1846  -0.12
S2 0.0000 0.2456 0.8154  -0.12
S3 0.5000 0.2179 0.1855  -0.09
S4 0.5000 0.7821 0.8145  -0.09
Li1 0.5000 0.5000 0.0000  0.00



3.
Computed, not measured: Ba2Ag2Pb3 after structural relaxation at the GGA-PBE level of DFT.

Results
SG: C2/m, No. 12
E_form, meV/atom: -299.1
Total magnetic moment, μB/cell: 0.0
Calculated volume, Å³/cell: 226.5

Cell lengths 4.9857, 6.4029, 8.1622 Å; angles 107.74, 90.00, 112.91 degrees
Fractional positions:
Ag1 0.1444 0.2889 0.2519
Ag2 0.8556 0.7111 0.7481
Pb1 0.5000 0.0000 0.0000
Pb2 0.3834 0.7668 0.5578
Pb3 0.6166 0.2332 0.4422
Ba1 0.1514 0.3027 0.7892
Ba2 0.8486 0.6973 0.2108



4.
Computed, not measured: Nd2SmY5Sc after structural relaxation at the GGA-PBE level of DFT.

Results
SG: Cmc2_1, No. 36
E_form, meV/atom: 152.3
Total magnetic moment, μB/cell: 0.0
Calculated volume, Å³/cell: 587.7

Cell lengths 5.6096, 10.4062, 10.4555 Å; angles 90.00, 90.00, 105.64 degrees
Fractional positions:
Y1 0.3701 0.7402 0.0198
Y2 0.9836 0.9672 0.5167
Y3 0.6299 0.2598 0.5198
Y4 0.7269 0.4538 0.8299
Y5 0.4818 0.9635 0.7386
Y6 0.5182 0.0365 0.2386
Y7 0.0164 0.0328 0.0167
Y8 0.2731 0.5462 0.3299
Y9 0.7029 0.4058 0.2008
Y10 0.2971 0.5942 0.7008
Nd1 0.8844 0.7688 0.2342
Nd2 0.1156 0.2312 0.7342
Nd3 0.8881 0.7762 0.8142
Nd4 0.1119 0.2238 0.3142
Sm1 0.4102 0.8205 0.4539
Sm2 0.5898 0.1795 0.9539
Sc1 0.1930 0.3860 0.0159
Sc2 0.8070 0.6140 0.5159



5.
Computed, not measured: Ac2Al4TlZn3 after structural relaxation at the GGA-PBE level of DFT.

Results
SG: P-4m2, No. 115
E_form, meV/atom: -322.8
Total magnetic moment, μB/cell: 0.0
Calculated volume, Å³/cell: 225.4

Cell lengths 4.5394, 4.5394, 10.9360 Å; angles 90.00, 90.00, 90.00 degrees
Fractional positions:
Al1 0.0000 0.0000 0.0000
Al2 0.0000 0.5000 0.3570
Al3 0.5000 0.5000 0.0000
Al4 0.5000 0.0000 0.6430
Zn1 0.5000 0.0000 0.8749
Zn2 0.0000 0.5000 0.1251
Zn3 0.0000 0.0000 0.5000
Ac1 0.5000 0.0000 0.2425
Ac2 0.0000 0.5000 0.7575
Tl1 0.5000 0.5000 0.5000



6.
Computed, not measured: LiHfInAu after structural relaxation at the GGA-PBE level of DFT.

Results
Excess energy over the best structure of this formula in the dataset, meV per atom: 0
SG: P4mm, No. 99
E_form, meV/atom: -373.3
Total magnetic moment, μB/cell: 0.0
Calculated volume, Å³/cell: 74.7

Cell lengths 3.2362, 3.2362, 7.1371 Å; angles 90.00, 90.00, 90.00 degrees
Fractional positions:
Au1 0.0000 0.0000 0.5951
In1 0.0000 0.0000 0.0464
Hf1 0.5000 0.5000 0.3423
Li1 0.5000 0.5000 0.8009



7.
Computed, not measured: Ni2Pt after structural relaxation at the GGA-PBE level of DFT.

Results
SG: P6_3/mmc, No. 194
E_form, meV/atom: -5.2
Total magnetic moment, μB/cell: 6.6
Calculated volume, Å³/cell: 149.9

Cell lengths 4.7373, 4.7373, 7.7109 Å; angles 90.00, 90.00, 60.00 degrees
Last column: magnetic moment on the atom in μB.
Fractional positions:
Pt1 0.6667 0.6667 0.4373  0.25
Pt2 0.3333 0.3333 0.5627  0.25
Pt3 0.3333 0.3333 0.9373  0.25
Pt4 0.6667 0.6667 0.0627  0.25
Ni1 0.1693 0.1693 0.2500  0.73
Ni2 0.0000 0.0000 0.0000  0.72
Ni3 0.0000 0.0000 0.5000  0.72
Ni4 0.8307 0.8307 0.7500  0.73
Ni5 0.6613 0.1693 0.2500  0.73
Ni6 0.3387 0.8307 0.7500  0.73
Ni7 0.8307 0.3387 0.7500  0.73
Ni8 0.1693 0.6613 0.2500  0.73



8.
Computed, not measured: GaNiMo after structural relaxation at the GGA-PBE level of DFT.

Results
SG: Cm, No. 8
E_form, meV/atom: -120.9
Total magnetic moment, μB/cell: 0.0
Calculated volume, Å³/cell: 166.6

Cell lengths 5.7293, 3.4359, 8.6989 Å; angles 90.00, 103.39, 90.00 degrees
Fractional positions:
Ni1 0.9681 0.0000 0.2445
Ni2 0.9681 0.5000 0.7445
Ni3 0.2661 0.5000 0.4296
Ni4 0.2661 0.0000 0.9296
Ga1 0.0969 0.0000 0.5723
Ga2 0.4165 0.0000 0.2626
Ga3 0.0969 0.5000 0.0723
Ga4 0.4165 0.5000 0.7626
Mo1 0.6169 0.5000 0.0824
Mo2 0.6169 0.0000 0.5824
Mo3 0.7676 0.0000 0.9045
Mo4 0.7676 0.5000 0.4045



9.
Computed, not measured: ErScIn6 after structural relaxation at the GGA-PBE level of DFT.

Results
SG: P4/mmm, No. 123
E_form, meV/atom: -343.9
Total magnetic moment, μB/cell: 0.0
Calculated volume, Å³/cell: 191.3

Cell lengths 4.5754, 4.5754, 9.1406 Å; angles 90.00, 90.00, 90.00 degrees
Fractional positions:
In1 0.5000 0.5000 0.5000
In2 0.5000 0.0000 0.7557
In3 0.5000 0.5000 0.0000
In4 0.0000 0.5000 0.2443
In5 0.5000 0.0000 0.2443
In6 0.0000 0.5000 0.7557
Er1 0.0000 0.0000 0.5000
Sc1 0.0000 0.0000 0.0000



10.
Computed, not measured: KGeIN2 after structural relaxation at the GGA-PBE level of DFT.

Results
Uncorrected formation energy, meV per atom: 914.9
Excess energy over the best structure of this formula in the dataset, meV per atom: 0
SG: P4/mmm, No. 123
Total magnetic moment, μB/cell: 2.4
Calculated volume, Å³/cell: 110.5

Cell lengths 4.2715, 4.2715, 6.0590 Å; angles 90.00, 90.00, 90.00 degrees
Last column: magnetic moment on the atom in μB.
Fractional positions:
N1 0.5000 0.0000 0.0000  0.82
N2 0.0000 0.5000 0.0000  0.82
I1 0.0000 0.0000 0.5000  0.07
K1 0.5000 0.5000 0.5000  0.00
Ge1 0.0000 0.0000 0.0000  -0.10



11.
Computed, not measured: TmAl3Fe after structural relaxation at the GGA-PBE level of DFT.

Results
Excess energy over the best structure of this formula in the dataset, meV per atom: 0
SG: Cmcm, No. 63
E_form, meV/atom: -324.7
Total magnetic moment, μB/cell: 2.5
Calculated volume, Å³/cell: 175.0

Cell lengths 5.2175, 5.6933, 6.5425 Å; angles 115.79, 90.00, 90.00 degrees
Last column: magnetic moment on the atom in μB.
Fractional positions:
Al1 0.2500 0.8945 0.2680  -0.01
Al2 0.7500 0.1055 0.7320  -0.01
Al3 0.2500 0.8236 0.6473  -0.01
Al4 0.2500 0.3735 0.2680  -0.01
Al5 0.7500 0.1764 0.3527  -0.01
Al6 0.7500 0.6265 0.7320  -0.01
Fe1 0.0000 0.0000 0.0000  1.38
Fe2 0.5000 0.0000 0.0000  1.38
Tm1 0.2500 0.4012 0.8024  -0.07
Tm2 0.7500 0.5988 0.1976  -0.07



12.
Computed, not measured: PmPr2Y3Er6 after structural relaxation at the GGA-PBE level of DFT.

Results
SG: C2/m, No. 12
E_form, meV/atom: 23.1
Total magnetic moment, μB/cell: 0.0
Calculated volume, Å³/cell: 385.6

Cell lengths 6.1917, 6.1917, 11.7902 Å; angles 95.01, 95.01, 119.96 degrees
Fractional positions:
Pm1 0.0000 0.0000 0.0000
Pr1 0.6666 0.3334 0.0000
Pr2 0.3334 0.6666 0.0000
Y1 0.1666 0.8334 0.5000
Y2 0.5000 0.5000 0.5000
Y3 0.8334 0.1666 0.5000
Er1 0.0850 0.4180 0.2528
Er2 0.5820 0.9150 0.7472
Er3 0.7520 0.7520 0.2528
Er4 0.9150 0.5820 0.7472
Er5 0.4180 0.0850 0.2528
Er6 0.2480 0.2480 0.7472



13.
Computed, not measured: Sc4Sb2TeSe after structural relaxation at the GGA-PBE level of DFT.

Results
Uncorrected formation energy, meV per atom: -1145.3
SG: P2/m, No. 10
Total magnetic moment, μB/cell: 0.0
Calculated volume, Å³/cell: 194.7

Cell lengths 4.0923, 7.0952, 7.1096 Å; angles 70.57, 90.00, 90.00 degrees
Fractional positions:
Sb1 0.0000 0.0000 0.0000
Sb2 0.5000 0.0000 0.5000
Te1 0.5000 0.5000 0.0000
Sc1 0.0000 0.7514 0.7380
Sc2 0.5000 0.2561 0.7374
Sc3 0.5000 0.7439 0.2626
Sc4 0.0000 0.2486 0.2620
Se1 0.0000 0.5000 0.5000



14.
Computed, not measured: Ba2LaTcS after structural relaxation at the GGA-PBE level of DFT.

Results
Uncorrected formation energy, meV per atom: 475.6
SG: P4/mmm, No. 123
Total magnetic moment, μB/cell: 0.0
Calculated volume, Å³/cell: 192.3

Cell lengths 6.4590, 6.4590, 4.6093 Å; angles 90.00, 90.00, 90.00 degrees
Fractional positions:
Ba1 0.0000 0.5000 0.0000
Ba2 0.5000 0.0000 0.0000
Tc1 0.0000 0.0000 0.5000
S1 0.5000 0.5000 0.5000
La1 0.0000 0.0000 0.0000



15.
Computed, not measured: YHo5Hg6 after structural relaxation at the GGA-PBE level of DFT.

Results
SG: Cmmm, No. 65
E_form, meV/atom: -486.6
Total magnetic moment, μB/cell: 0.0
Calculated volume, Å³/cell: 306.6

Cell lengths 5.2328, 7.4328, 8.3050 Å; angles 90.00, 71.64, 90.00 degrees
Fractional positions:
Hg1 0.8325 0.2514 0.3349
Hg2 0.5000 0.7486 0.0000
Hg3 0.1674 0.2514 0.6651
Hg4 0.5000 0.2514 0.0000
Hg5 0.1675 0.7486 0.6651
Hg6 0.8326 0.7486 0.3349
Ho1 0.3330 0.0000 0.3339
Ho2 0.3338 0.5000 0.3324
Ho3 0.6670 0.0000 0.6661
Ho4 0.0000 0.5000 0.0000
Ho5 0.6662 0.5000 0.6676
Y1 0.0000 0.0000 0.0000



16.
Computed, not measured: CaLaH2 after structural relaxation at the GGA-PBE level of DFT.

Results
Excess energy over the best structure of this formula in the dataset, meV per atom: 82
SG: R3m, No. 160
Total magnetic moment, μB/cell: 0.0
Calculated volume, Å³/cell: 69.2

Cell lengths 3.5508, 3.5508, 6.6613 Å; angles 74.54, 74.54, 60.00 degrees
Fractional positions:
La1 0.4964 0.4964 0.5109
H1 0.0742 0.0742 0.7774
H2 0.2609 0.2609 0.2174
Ca1 0.6685 0.6685 0.9944



17.
Computed, not measured: Hf2TiV2 after structural relaxation at the GGA-PBE level of DFT.

Results
Excess energy over the best structure of this formula in the dataset, meV per atom: 0
SG: P4/mbm, No. 127
E_form, meV/atom: 213.1
Total magnetic moment, μB/cell: 2.0
Calculated volume, Å³/cell: 182.7

Cell lengths 7.0415, 7.0415, 3.6857 Å; angles 90.00, 90.00, 90.00 degrees
Last column: magnetic moment on the atom in μB.
Fractional positions:
V1 0.1292 0.3708 0.0000  0.23
V2 0.8708 0.6292 0.0000  0.23
V3 0.6292 0.1292 0.0000  0.23
V4 0.3708 0.8708 0.0000  0.23
Hf1 0.3307 0.1693 0.5000  -0.02
Hf2 0.6693 0.8307 0.5000  -0.02
Hf3 0.1693 0.6693 0.5000  -0.02
Hf4 0.8307 0.3307 0.5000  -0.02
Ti1 0.5000 0.5000 0.0000  0.44
Ti2 0.0000 0.0000 0.0000  0.44



18.
Computed, not measured: In2CoOs after structural relaxation at the GGA-PBE level of DFT.

Results
SG: Amm2, No. 38
E_form, meV/atom: 362.4
Total magnetic moment, μB/cell: 1.5
Calculated volume, Å³/cell: 70.8

Cell lengths 4.2047, 3.3221, 5.3351 Å; angles 71.80, 90.00, 90.00 degrees
Last column: magnetic moment on the atom in μB.
Fractional positions:
Os1 0.0000 0.6850 0.5049  0.31
In1 0.0000 0.9623 0.9495  -0.02
In2 0.5000 0.2863 0.3035  -0.03
Co1 0.5000 0.5664 0.7422  1.28



19.
Computed, not measured: In2MoRh after structural relaxation at the GGA-PBE level of DFT.

Results
Excess energy over the best structure of this formula in the dataset, meV per atom: 120
SG: Fm-3m, No. 225
E_form, meV/atom: 166.4
Total magnetic moment, μB/cell: 2.1
Calculated volume, Å³/cell: 71.8

Cell lengths 4.6654, 4.6654, 4.6654 Å; angles 60.00, 60.00, 60.00 degrees
Last column: magnetic moment on the atom in μB.
Fractional positions:
Mo1 0.0000 0.0000 0.0000  1.75
In1 0.2500 0.2500 0.2500  0.00
In2 0.7500 0.7500 0.7500  0.00
Rh1 0.5000 0.5000 0.5000  0.10



20.
Computed, not measured: BRuI2 after structural relaxation at the GGA-PBE level of DFT.

Results
Uncorrected formation energy, meV per atom: 1291.9
Excess energy over the best structure of this formula in the dataset, meV per atom: 0
SG: I-42d, No. 122
Total magnetic moment, μB/cell: 0.0
Calculated volume, Å³/cell: 194.1

Cell lengths 5.7838, 5.7838, 7.0990 Å; angles 65.96, 65.96, 90.00 degrees
Fractional positions:
B1 0.5000 0.5000 0.0000
B2 0.2500 0.7500 0.5000
Ru1 0.0000 0.0000 0.0000
Ru2 0.7500 0.2500 0.5000
I1 0.1429 0.6250 0.2500
I2 0.3750 0.3929 0.7500
I3 0.6071 0.1250 0.2500
I4 0.8750 0.8571 0.7500